First-principles (GGA-PBE) data for RbLiCd17 after structural relaxation, as listed in Alexandria.

The total moment is 0.00 μB per formula unit. The total energy is -0.992 eV per atom. The formation energy comes out at -0.021 eV per atom. The calculation puts the volume at 24.7 Å³/atom.

It has space group R3m (No. 160, hexagonal axes), with a = 10.3186 Å, b = 10.3186 Å, c = 15.2628 Å, α = 90.00°, β = 90.00° and γ = 120.00°. Symmetry generates all atoms from Rb at (0.0000, 0.0000, 0.0000), Li at (0.0000, 0.0000, 0.3498), Cd at (0.0000, 0.0000, 0.5530), Cd at (0.0000, 0.0000, 0.7506), Cd at (0.0385, 0.3672, 0.3260), Cd at (0.1750, 0.3500, 0.1366), Cd at (0.1779, 0.3558, 0.4972) and Cd at (0.1844, 0.3688, 0.8472).